Entry from the Alexandria database: a geometry-optimized Cr2CoRe2 structure (PBE).

```
5
Lattice="-1.9829 1.9829 4.8394 1.9829 -1.9829 4.8394 1.9829 1.9829 -4.8394" Properties=species:S:1:pos:R:3 pbc="T T T"
Cr 0.0000 0.0000 1.0837
Cr 0.0000 0.0000 8.5951
Co 0.0000 0.0000 4.8394
Re 1.9829 0.0000 2.4197
Re 0.0000 1.9829 2.4197
```

Results
Excess energy over the best structure of this formula in the dataset (meV/atom): 436.9
Magnetic moment (μB/cell): 0.01
Symmetry: I4/mmm, No. 139
ΔE_f (eV/f.u.): 4.44